VASP calculation (GGA-PBE) on an optimized crystal structure of La6Ag3N.

Cell and atoms, written as POSCAR:
```
La6Ag3N
1.0
-6.370 -1.598 -1.488
0.438 -6.444 5.046
-3.788 5.962 7.942
La Ag N
12 6 2
Cartesian
-7.850 3.597 7.285 La
-6.071 0.891 4.667 La
-4.956 -2.305 3.503 La
-4.764 0.224 7.997 La
-3.649 -2.972 6.833 La
-1.870 -5.678 4.215 La
-2.685 0.139 5.057 La
-0.971 -1.607 1.688 La
-3.842 4.077 6.180 La
-5.879 -6.158 5.319 La
-8.749 -0.474 9.812 La
-7.035 -2.219 6.443 La
-6.103 -2.342 9.470 Ag
-2.966 -4.021 1.779 Ag
-3.617 0.261 2.030 Ag
-1.152 -2.640 4.768 Ag
-1.894 2.981 3.971 Ag
-8.568 0.559 6.732 Ag
-4.860 -1.040 5.750 N
0.000 0.000 0.000 N
```

Properties
E_form (uncorrected) = -0.373 eV per atom
D(E_F) = 1.2390 states/eV/atom
spin magnetization = 0.0 Bohr magnetons per cell